[1]
VASP calculation (GGA-PBE) on an optimized crystal structure of Pm2Zn7Ga.

abc: 4.2172 4.2172 10.6479
angles: 90.00 90.00 90.00
Sites, in units of the cell vectors:
Pm 0.5000 0.0000 0.7502
Pm 0.0000 0.5000 0.2498
Zn 0.0000 0.5000 0.8636
Zn 0.5000 0.0000 0.3665
Zn 0.5000 0.0000 0.1364
Zn 0.0000 0.5000 0.6335
Zn 0.0000 0.0000 0.5000
Zn 0.0000 0.0000 0.0000
Zn 0.5000 0.5000 0.5000
Ga 0.5000 0.5000 0.0000

## Properties
density of states at the Fermi level = 6.38 states/eV/f.u.
ΔE_f = -0.35 eV per atom
symmetry = P-4m2

---

[2]
VASP calculation (GGA-PBE) on an optimized crystal structure of LaHo2Er.

abc: 3.6676 6.7688 6.7688
angles: 54.94 74.31 74.31
Sites, in units of the cell vectors:
La 0.2500 0.1739 0.3261
Ho 0.0037 0.0756 0.9164
Ho 0.4963 0.5836 0.4244
Er 0.7500 0.6668 0.8332

## Properties
density of states at the Fermi level = 6.80 states/eV/f.u.
ΔE_f = 0.03 eV per atom
symmetry = Imm2

---

[3]
VASP calculation (GGA-PBE) on an optimized crystal structure of SnPd2Pt3.

abc: 7.4708 7.4708 5.1754
angles: 90.00 90.00 135.85
Sites, in units of the cell vectors:
Sn 0.6490 0.3510 0.2500
Sn 0.3510 0.6490 0.7500
Pd 0.2456 0.2456 0.0000
Pd 0.7544 0.7544 0.5000
Pd 0.7544 0.7544 0.0000
Pd 0.2456 0.2456 0.5000
Pt 0.1503 0.8497 0.2500
Pt 0.8497 0.1503 0.7500
Pt 0.0700 0.4290 0.2500
Pt 0.9300 0.5710 0.7500
Pt 0.5710 0.9300 0.2500
Pt 0.4290 0.0700 0.7500

## Properties
density of states at the Fermi level = 5.31 states/eV/f.u.
ΔE_f = -0.13 eV per atom
symmetry = Cmcm

---

[4]
VASP calculation (GGA-PBE) on an optimized crystal structure of K2YTlS4.

abc: 8.4171 8.4171 8.2991
angles: 119.48 119.48 91.22
Sites, in units of the cell vectors:
K 0.5000 0.0000 0.0000
K 0.5000 0.0000 0.5000
K 0.0000 0.0000 0.5000
K 0.5000 0.5000 0.0000
Y 0.0000 0.5000 0.0000
Y 0.0000 0.5000 0.5000
Tl 0.5000 0.5000 0.5000
Tl 0.0000 0.0000 0.0000
S 0.2111 0.7276 0.9691
S 0.7724 0.2889 0.5309
S 0.2276 0.7111 0.4691
S 0.7889 0.2724 0.0309
S 0.7654 0.7361 0.9704
S 0.7639 0.7346 0.5296
S 0.2361 0.2654 0.4704
S 0.2346 0.2639 0.0296

## Properties
density of states at the Fermi level = 0.29 states/eV/f.u.
formation energy from raw total energies = -1.1704 eV per atom
symmetry = C2/c